U3Te8As after structural relaxation. Source: Alexandria, functional PBE.

## Properties
* ΔE_f (raw): -7.2 kcal/mol of atoms
* raw total energy: -134.8 eV for the cell shown
* total magnetic moment: 5.01 μB/f.u.

```
data_U3Te8As
_space_group_name_H-M_alt 'P 63 m c'
_space_group_IT_number 186
_space_group_name_Hall 'P 6c -2c'
_cell_length_a 9.2805
_cell_length_b 9.2805
_cell_length_c 10.3463
_cell_angle_alpha 90.00
_cell_angle_beta 90.00
_cell_angle_gamma 120.00
loop_
_atom_site_label
_atom_site_fract_x
_atom_site_fract_y
_atom_site_fract_z
U1 0.1826 0.3653 0.0000
Te1 0.0000 0.0000 0.0631
Te2 0.0587 0.5293 0.5634
Te3 0.1566 0.3132 0.3043
Te4 0.3333 0.6667 0.8269
As1 0.3333 0.6667 0.2116
```

***

Dy3Er7In2 after structural relaxation. Source: Alexandria, functional PBE.

## Properties
* E_form: 0.105 eV/atom
* raw total energy: -149.9 eV for the cell shown
* total magnetic moment: 0.00 μB/f.u.

```
data_Dy3Er7In2
_space_group_name_H-M_alt 'R -3 m'
_space_group_IT_number 166
_space_group_name_Hall '-R 3 2"'
_cell_length_a 6.5093
_cell_length_b 6.5093
_cell_length_c 31.0712
_cell_angle_alpha 90.00
_cell_angle_beta 90.00
_cell_angle_gamma 120.00
loop_
_atom_site_label
_atom_site_fract_x
_atom_site_fract_y
_atom_site_fract_z
Dy1 0.0000 0.0000 0.0000
Dy2 0.0000 0.0000 0.1436
Er1 0.0000 0.0000 0.5000
Er2 0.0016 0.5008 0.9189
In1 0.0000 0.0000 0.3337
```

***

La2NbNi after structural relaxation. Source: Alexandria, functional PBE.

## Properties
* E_form: 0.442 eV/atom
* raw total energy: -95.7 eV for the cell shown
* total magnetic moment: 0.92 μB/f.u.
* distance to the lowest polymorph of the same formula: 0.093 eV/atom

```
data_La2NbNi
_space_group_name_H-M_alt 'I -4 2 d'
_space_group_IT_number 122
_space_group_name_Hall 'I -4 2bw'
_cell_length_a 7.972
_cell_length_b 7.972
_cell_length_c 6.158
_cell_angle_alpha 90.00
_cell_angle_beta 90.00
_cell_angle_gamma 90.00
loop_
_atom_site_label
_atom_site_fract_x
_atom_site_fract_y
_atom_site_fract_z
La1 0.210 0.250 0.125
Nb1 0.000 0.000 0.500
Ni1 0.000 0.000 0.000
```

***

LaAgBiRh after structural relaxation. Source: Alexandria, functional PBE.

## Properties
* E_form: -0.388 eV/atom
* raw total energy: -82.3 eV for the cell shown
* total magnetic moment: 0.00 μB/f.u.

```
data_LaAgBiRh
_space_group_name_H-M_alt 'F -4 3 m'
_space_group_IT_number 216
_space_group_name_Hall 'F -4 2 3'
_cell_length_a 7.166
_cell_length_b 7.166
_cell_length_c 7.166
_cell_angle_alpha 90.00
_cell_angle_beta 90.00
_cell_angle_gamma 90.00
loop_
_atom_site_label
_atom_site_fract_x
_atom_site_fract_y
_atom_site_fract_z
La1 0.000 0.000 0.000
Ag1 0.250 0.250 0.250
Bi1 0.000 0.000 0.500
Rh1 0.250 0.250 0.750
```